Entry 1:
## PmSmInAg (PBE-GGA)

Data for a relaxed PmSmInAg crystal.

Summary:
Calculated formation energy   -0.38 eV per atom
DOS(E_F)   4.05 states/eV/f.u.

The structure in CIF format:
```
data_PmSmInAg
_chemical_formula_sum 'Pm4 Sm4 In4 Ag4'
_symmetry_space_group_name_H-M 'F -4 3 m'
_symmetry_Int_Tables_number 216
_symmetry_space_group_name_Hall 'F -4 2 3'
_cell_length_a 7.597
_cell_length_b 7.597
_cell_length_c 7.597
_cell_angle_alpha 90.00
_cell_angle_beta 90.00
_cell_angle_gamma 90.00
loop_
_atom_site_label
_atom_site_fract_x
_atom_site_fract_y
_atom_site_fract_z
Pm1 0.000 0.000 0.000
Sm1 0.000 0.000 0.500
In1 0.250 0.250 0.750
Ag1 0.250 0.250 0.250
```

=====

Entry 2:
## LiAg2SO6 (PBE-GGA)

Data for a relaxed LiAg2SO6 crystal.

Summary:
DFT total energy   -4.61 eV per atom
DOS(E_F)   6.66 states/eV/f.u.

The structure in CIF format:
```
data_LiAg2SO6
_chemical_formula_sum 'Li1 Ag2 S1 O6'
_symmetry_space_group_name_H-M 'P -3 m 1'
_symmetry_Int_Tables_number 164
_symmetry_space_group_name_Hall '-P 3 2"'
_cell_length_a 5.5133
_cell_length_b 5.5133
_cell_length_c 5.3137
_cell_angle_alpha 90.00
_cell_angle_beta 90.00
_cell_angle_gamma 120.00
loop_
_atom_site_label
_atom_site_fract_x
_atom_site_fract_y
_atom_site_fract_z
Li1 0.0000 0.0000 0.0000
Ag1 0.3333 0.6667 0.5542
S1 0.0000 0.0000 0.5000
O1 0.1387 0.2773 0.3134
```

=====

Entry 3:
## Hf4ScH10 (PBE-GGA)

Data for a relaxed Hf4ScH10 crystal.

Summary:
DFT total energy   -5.86 eV per atom
DOS(E_F)   3.01 states/eV/f.u.

The structure in CIF format:
```
data_Hf4ScH10
_chemical_formula_sum 'Hf8 Sc2 H20'
_symmetry_space_group_name_H-M 'I 4/m'
_symmetry_Int_Tables_number 87
_symmetry_space_group_name_Hall '-I 4'
_cell_length_a 7.218
_cell_length_b 7.218
_cell_length_c 4.995
_cell_angle_alpha 90.00
_cell_angle_beta 90.00
_cell_angle_gamma 90.00
loop_
_atom_site_label
_atom_site_fract_x
_atom_site_fract_y
_atom_site_fract_z
Hf1 0.098 0.701 0.000
Sc1 0.000 0.000 0.500
H1 0.000 0.500 0.250
H2 0.102 0.202 0.249
```

=====

Entry 4:
## Y2ThZn2In2 (PBE-GGA)

Data for a relaxed Y2ThZn2In2 crystal.

Summary:
Calculated formation energy   -0.24 eV per atom
DOS(E_F)   4.52 states/eV/f.u.

The structure in CIF format:
```
data_Y2ThZn2In2
_chemical_formula_sum 'Y6 Th3 Zn6 In6'
_symmetry_space_group_name_H-M 'R -3 m'
_symmetry_Int_Tables_number 166
_symmetry_space_group_name_Hall '-R 3 2"'
_cell_length_a 4.6622
_cell_length_b 4.6622
_cell_length_c 28.8196
_cell_angle_alpha 90.00
_cell_angle_beta 90.00
_cell_angle_gamma 120.00
loop_
_atom_site_label
_atom_site_fract_x
_atom_site_fract_y
_atom_site_fract_z
Y1 0.0000 0.0000 0.1283
Th1 0.0000 0.0000 0.0000
Zn1 0.0000 0.0000 0.3938
In1 0.0000 0.0000 0.2583
```

=====

Entry 5:
## AgIr3 (PBE-GGA)

Data for a relaxed AgIr3 crystal.

Summary:
Calculated formation energy   0.44 eV per atom
DOS(E_F)   5.07 states/eV/f.u.

The structure in CIF format:
```
data_AgIr3
_chemical_formula_sum 'Ag2 Ir6'
_symmetry_space_group_name_H-M 'P m m n'
_symmetry_Int_Tables_number 59
_cell_length_a 4.563
_cell_length_b 5.603
_cell_length_c 4.778
_cell_angle_alpha 90.00
_cell_angle_beta 90.00
_cell_angle_gamma 90.00
loop_
_symmetry_equiv_pos_as_xyz
'x,y,z'
'-x,-y,-z'
'-x+1/2,-y+1/2,z'
'x+1/2,y+1/2,-z'
'x+1/2,-y,-z'
'-x+1/2,y,z'
'-x,y+1/2,-z'
'x,-y+1/2,z'
loop_
_atom_site_label
_atom_site_fract_x
_atom_site_fract_y
_atom_site_fract_z
Ag1 0.250 0.250 0.157
Ir1 0.250 0.509 0.654
Ir2 0.250 0.750 0.171
```

=====

Entry 6:
## Ac2TeNF (PBE-GGA)

Data for a relaxed Ac2TeNF crystal.

Summary:
DFT total energy   -6.53 eV per atom
DOS(E_F)   0.00 states/eV/f.u.

The structure in CIF format:
```
data_Ac2TeNF
_chemical_formula_sum 'Ac4 Te2 N2 F2'
_symmetry_space_group_name_H-M 'I -4 m 2'
_symmetry_Int_Tables_number 119
_symmetry_space_group_name_Hall 'I -4 -2'
_cell_length_a 4.271
_cell_length_b 4.271
_cell_length_c 13.851
_cell_angle_alpha 90.00
_cell_angle_beta 90.00
_cell_angle_gamma 90.00
loop_
_atom_site_label
_atom_site_fract_x
_atom_site_fract_y
_atom_site_fract_z
Ac1 0.000 0.000 0.153
Te1 0.000 0.000 0.500
N1 0.000 0.500 0.750
F1 0.000 0.500 0.250
```

=====

Entry 7:
## TiCuPd4 (PBE-GGA)

Data for a relaxed TiCuPd4 crystal.

Summary:
Energy relative to the lowest polymorph listed for this composition   0.0 meV per atom
Calculated formation energy   -0.42 eV per atom
DOS(E_F)   2.97 states/eV/f.u.

The structure in CIF format:
```
data_TiCuPd4
_chemical_formula_sum 'Ti2 Cu2 Pd8'
_symmetry_space_group_name_H-M 'C 1 2/m 1'
_symmetry_Int_Tables_number 12
_symmetry_space_group_name_Hall '-C 2y'
_cell_length_a 9.235
_cell_length_b 3.621
_cell_length_c 5.633
_cell_angle_alpha 90.00
_cell_angle_beta 108.57
_cell_angle_gamma 90.00
loop_
_atom_site_label
_atom_site_fract_x
_atom_site_fract_y
_atom_site_fract_z
Ti1 0.000 0.000 0.000
Cu1 0.000 0.000 0.500
Pd1 0.157 0.500 0.327
Pd2 0.158 0.500 0.826
```